1.
Density functional theory data (PBE) for a geometry-optimized Ca3TlF structure.

Lattice parameters (Å, degrees): 5.973 5.973 5.973 90.00 90.00 90.00
Element x y z (fractional)
Ca1 0.000 0.500 0.000
Ca2 0.500 0.000 0.000
Ca3 0.000 0.000 0.500
Tl1 0.000 0.000 0.000
F1 0.500 0.500 0.500

## Properties
formation energy (no corrections) = -0.49 eV/atom
E above lowest polymorph = 773.2 meV per atom
theoretical density = 2.7 g/cm3
uncorrected energy = -2.539 eV per atom
space group = Pm-3m (221)



2.
Density functional theory data (PBE) for a geometry-optimized KSr2Br structure.

Lattice parameters (Å, degrees): 4.073 4.073 11.088 90.00 90.00 90.00
Element x y z (fractional)
Sr1 0.000 0.000 0.017
Sr2 0.500 0.500 0.302
Br1 0.000 0.000 0.488
K1 0.500 0.500 0.693

## Properties
formation energy (no corrections) = -0.69 eV/atom
theoretical density = 2.7 g/cm3
uncorrected energy = -2.225 eV per atom
space group = P4mm (99)



3.
Density functional theory data (PBE) for a geometry-optimized KCa2Re structure.

Lattice parameters (Å, degrees): 5.616 5.616 9.242 73.44 73.44 31.93
Element x y z (fractional)
Ca1 0.759 0.759 0.831
Re1 0.202 0.202 0.108
Ca2 0.938 0.938 0.105
K1 0.602 0.602 0.456

## Properties
E above lowest polymorph = 192.5 meV per atom
theoretical density = 3.4 g/cm3
uncorrected energy = -3.503 eV per atom
space group = Cm (8)



4.
Density functional theory data (PBE) for a geometry-optimized Sc2Co structure.

Lattice parameters (Å, degrees): 3.904 3.904 14.374 97.80 97.80 90.00
Element x y z (fractional)
Sc1 0.504 0.004 0.008
Co1 0.171 0.671 0.342
Co2 0.921 0.921 0.842
Sc2 0.996 0.496 0.992
Sc3 0.836 0.336 0.672
Sc4 0.746 0.746 0.492
Sc5 0.414 0.414 0.828
Co3 0.329 0.829 0.658
Sc6 0.254 0.254 0.508
Sc7 0.586 0.586 0.172
Co4 0.079 0.079 0.158
Sc8 0.664 0.164 0.328

## Properties
theoretical density = 4.6 g/cm3
uncorrected energy = -6.576 eV per atom
space group = I4_1/amd (141)



5.
Density functional theory data (PBE) for a geometry-optimized Ho8ZnNi2 structure.

Lattice parameters (Å, degrees): 5.004 6.672 9.035 106.74 106.07 90.00
Element x y z (fractional)
Ho1 0.964 0.218 0.928
Ho2 0.406 0.529 0.811
Ho3 0.199 0.333 0.397
Zn1 0.500 0.000 0.000
Ni1 0.180 0.719 0.361
Ni2 0.820 0.281 0.639
Ho4 0.324 0.011 0.647
Ho5 0.676 0.989 0.353
Ho6 0.036 0.782 0.072
Ho7 0.801 0.667 0.603
Ho8 0.594 0.471 0.189

## Properties
E above lowest polymorph = 0.0 meV per atom
theoretical density = 9.0 g/cm3
uncorrected energy = -4.710 eV per atom
space group = C2/m (12)



6.
Density functional theory data (PBE) for a geometry-optimized Sr2TlSnPd6 structure.

Lattice parameters (Å, degrees): 7.187 7.187 7.187 60.00 60.00 90.00
Element x y z (fractional)
Sr1 0.750 0.250 0.500
Pd1 0.754 0.754 0.000
Pd2 0.246 0.754 0.000
Sn1 0.000 0.000 0.000
Tl1 0.500 0.500 0.000
Pd3 0.246 0.246 0.000
Pd4 0.754 0.754 0.492
Pd5 0.754 0.246 0.000
Pd6 0.246 0.246 0.508
Sr2 0.250 0.750 0.500

## Properties
theoretical density = 7.2 g/cm3
uncorrected energy = -4.202 eV per atom
space group = Fm-3m (225)



7.
Density functional theory data (PBE) for a geometry-optimized PmCu2Ni2Ge structure.

Lattice parameters (Å, degrees): 4.348 4.348 5.586 90.00 90.00 90.00
Element x y z (fractional)
Ni1 0.500 0.000 0.000
Ge1 0.000 0.000 0.000
Pm1 0.000 0.000 0.500
Cu1 0.500 0.500 0.743
Cu2 0.500 0.500 0.257
Ni2 0.000 0.500 0.000

## Properties
theoretical density = 7.3 g/cm3
uncorrected energy = -4.837 eV per atom
space group = P4/mmm (123)



8.
Density functional theory data (PBE) for a geometry-optimized Y2CdCl structure.

Lattice parameters (Å, degrees): 3.499 3.499 10.050 90.00 90.00 90.06
Element x y z (fractional)
Cd1 0.000 0.000 0.450
Y1 0.000 0.000 0.981
Cl1 0.500 0.500 0.825
Y2 0.500 0.500 0.244

## Properties
formation energy (no corrections) = -0.64 eV/atom
E above lowest polymorph = 153.0 meV per atom
theoretical density = 4.4 g/cm3
uncorrected energy = -4.564 eV per atom
space group = P4mm (99)



9.
Density functional theory data (PBE) for a geometry-optimized AcPuAlSn structure.

Lattice parameters (Å, degrees): 5.488 5.488 5.488 60.00 60.00 60.00
Element x y z (fractional)
Ac1 0.500 0.500 0.500
Al1 0.250 0.250 0.250
Sn1 0.750 0.750 0.750
Pu1 0.000 0.000 0.000

## Properties
theoretical density = 8.8 g/cm3
uncorrected energy = -6.758 eV per atom
space group = F-43m (216)



10.
Density functional theory data (PBE) for a geometry-optimized Sm3Ho7Er structure.

Lattice parameters (Å, degrees): 5.500 10.050 8.835 106.39 128.49 89.99
Element x y z (fractional)
Sm1 0.284 0.004 0.784
Ho1 0.141 0.289 0.640
Ho2 0.095 0.171 0.095
Ho3 0.317 0.637 0.817
Ho4 0.859 0.711 0.360
Ho5 0.683 0.363 0.183
Sm2 0.000 0.500 0.000
Ho6 0.905 0.829 0.905
Er1 0.500 0.500 0.500
Ho7 0.500 0.000 0.500
Sm3 0.716 0.996 0.216

## Properties
E above lowest polymorph = 0.0 meV per atom
theoretical density = 8.3 g/cm3
uncorrected energy = -4.466 eV per atom
space group = P2/m (10)



11.
Density functional theory data (PBE) for a geometry-optimized NaSr3P2O8 structure.

Lattice parameters (Å, degrees): 5.455 5.455 8.708 90.00 90.00 120.00
Element x y z (fractional)
O1 0.822 0.645 0.764
O2 0.822 0.178 0.764
Na1 0.000 0.000 0.500
Sr1 0.333 0.667 0.727
P1 0.333 0.667 0.177
O3 0.178 0.355 0.236
Sr2 0.667 0.333 0.273
O4 0.333 0.667 0.998
O5 0.667 0.333 0.002
O6 0.645 0.822 0.236
P2 0.667 0.333 0.823
O7 0.178 0.822 0.236
O8 0.355 0.178 0.764
Sr3 0.000 0.000 0.000

## Properties
formation energy (no corrections) = -2.57 eV/atom
theoretical density = 3.5 g/cm3
uncorrected energy = -6.630 eV per atom
space group = P-3m1 (164)



12.
Density functional theory data (PBE) for a geometry-optimized RbInSn2Hg structure.

Lattice parameters (Å, degrees): 4.962 5.207 7.239 111.08 110.04 90.00
Element x y z (fractional)
Rb1 0.439 0.439 0.877
Sn1 0.697 0.197 0.394
Hg1 0.826 0.826 0.653
Sn2 0.058 0.058 0.116
In1 0.192 0.692 0.385

## Properties
theoretical density = 6.5 g/cm3
uncorrected energy = -2.567 eV per atom
space group = Imm2 (44)



13.
Density functional theory data (PBE) for a geometry-optimized CdHPd3 structure.

Lattice parameters (Å, degrees): 2.999 2.999 18.098 90.00 90.00 120.00
Element x y z (fractional)
Pd1 0.667 0.333 0.378
Pd2 0.000 0.000 0.250
Pd3 0.333 0.667 0.622
Pd4 0.000 0.000 0.750
Pd5 0.333 0.667 0.878
H1 0.667 0.333 0.250
Cd1 0.000 0.000 0.500
H2 0.333 0.667 0.750
Pd6 0.667 0.333 0.122
Cd2 0.000 0.000 0.000

## Properties
E above lowest polymorph = 171.7 meV per atom
theoretical density = 10.2 g/cm3
uncorrected energy = -4.084 eV per atom
space group = P6_3/mmc (194)



14.
Density functional theory data (PBE) for a geometry-optimized MgBe2Al structure.

Lattice parameters (Å, degrees): 4.376 4.376 5.436 75.91 75.91 35.70
Element x y z (fractional)
Be1 0.003 0.003 0.925
Be2 0.497 0.497 0.575
Mg1 0.250 0.250 0.250
Al1 0.750 0.750 0.750

## Properties
E above lowest polymorph = 296.9 meV per atom
theoretical density = 2.0 g/cm3
uncorrected energy = -2.852 eV per atom
space group = C2/m (12)



15.
Density functional theory data (PBE) for a geometry-optimized Ba2TlNiAu structure.

Lattice parameters (Å, degrees): 5.912 5.912 4.958 90.00 90.00 90.00
Element x y z (fractional)
Ni1 0.000 0.000 0.000
Ba1 0.000 0.500 0.000
Ba2 0.500 0.000 0.000
Au1 0.500 0.500 0.500
Tl1 0.000 0.000 0.500

## Properties
theoretical density = 7.0 g/cm3
uncorrected energy = -3.276 eV per atom
space group = P4/mmm (123)



16.
Density functional theory data (PBE) for a geometry-optimized KFe2WC structure.

Lattice parameters (Å, degrees): 4.070 4.175 4.070 90.00 90.00 90.00
Element x y z (fractional)
Fe1 0.000 0.000 0.500
C1 0.000 0.000 0.000
Fe2 0.500 0.000 0.000
K1 0.500 0.500 0.500
W1 0.000 0.500 0.000

## Properties
theoretical density = 8.3 g/cm3
uncorrected energy = -6.741 eV per atom
space group = P4/mmm (123)



17.
Density functional theory data (PBE) for a geometry-optimized Ac4Pr4Nd3 structure.

Lattice parameters (Å, degrees): 3.735 11.960 11.693 120.76 99.19 90.00
Element x y z (fractional)
Pr1 0.325 0.061 0.650
Nd1 0.000 0.500 0.000
Ac1 0.201 0.701 0.403
Pr2 0.675 0.939 0.350
Nd2 0.105 0.105 0.210
Pr3 0.325 0.589 0.650
Ac2 0.799 0.299 0.597
Ac3 0.500 0.774 0.000
Nd3 0.895 0.895 0.790
Pr4 0.675 0.411 0.350
Ac4 0.500 0.226 0.000

## Properties
theoretical density = 7.2 g/cm3
uncorrected energy = -4.355 eV per atom
space group = Immm (71)



18.
Density functional theory data (PBE) for a geometry-optimized Na2ZnTcH6 structure.

Lattice parameters (Å, degrees): 5.149 5.159 7.197 90.00 90.00 90.00
Element x y z (fractional)
Na1 0.500 0.753 0.751
Zn1 0.000 0.751 0.500
Na2 0.500 0.753 0.249
Tc1 0.500 0.259 0.500
H1 0.252 0.015 0.500
H2 0.000 0.781 0.753
H3 0.748 0.015 0.500
H4 0.248 0.985 0.000
H5 0.500 0.219 0.253
Na3 0.000 0.247 0.251
H6 0.247 0.494 0.000
H7 0.753 0.494 0.000
H8 0.747 0.506 0.500
Na4 0.000 0.247 0.749
Tc2 0.000 0.741 0.000
H9 0.000 0.781 0.247
H10 0.253 0.506 0.500
Zn2 0.500 0.249 0.000
H11 0.752 0.985 0.000
H12 0.500 0.219 0.747

## Properties
theoretical density = 3.7 g/cm3
uncorrected energy = -3.419 eV per atom
space group = Pmmn (59)



19.
Density functional theory data (PBE) for a geometry-optimized Li2SnF4 structure.

Lattice parameters (Å, degrees): 6.983 6.943 3.958 96.38 117.15 132.59
Element x y z (fractional)
F1 0.853 0.961 0.320
F2 0.593 0.034 0.624
F3 0.356 0.464 0.320
F4 0.022 0.552 0.570
Li1 0.600 0.035 0.129
Li2 0.097 0.531 0.130
Sn1 0.980 0.922 0.908

## Properties
formation energy (no corrections) = -2.59 eV/atom
E above lowest polymorph = 0.0 meV per atom
theoretical density = 3.6 g/cm3
uncorrected energy = -4.776 eV per atom
space group = P1 (1)



20.
Density functional theory data (PBE) for a geometry-optimized CdSbN structure.

Lattice parameters (Å, degrees): 4.513 6.717 12.838 91.90 90.00 90.00
Element x y z (fractional)
N1 0.595 0.958 0.016
Sb1 0.750 0.364 0.332
Cd1 0.250 0.621 0.432
Cd2 0.250 0.121 0.432
Sb2 0.250 0.136 0.668
N2 0.405 0.042 0.984
Sb3 0.250 0.636 0.668
Sb4 0.750 0.864 0.332
Cd3 0.750 0.879 0.568
N3 0.095 0.542 0.984
Cd4 0.750 0.379 0.568
N4 0.905 0.458 0.016

## Properties
formation energy (no corrections) = 0.08 eV/atom
E above lowest polymorph = 0.0 meV per atom
theoretical density = 4.2 g/cm3
uncorrected energy = -4.376 eV per atom
space group = P2_1/c (14)